No. 1
# SrCdP4, relaxed, DFT GGA-PBEsol
data_SrCdP4
_space_group_name_H-M_alt 'P 1'
_space_group_IT_number 1
_cell_length_a 5.4835
_cell_length_b 5.4835
_cell_length_c 5.4835
_cell_angle_alpha 60.00
_cell_angle_beta 60.00
_cell_angle_gamma 60.00
loop_
_space_group_symop_operation_xyz
'x,y,z'
loop_
_atom_site_label
_atom_site_type_symbol
_atom_site_fract_x
_atom_site_fract_y
_atom_site_fract_z
_atom_site_occupancy
Sr1 Sr 0.0000 0.0000 0.0000 1
Cd1 Cd 0.7500 0.7500 0.7500 1
P1 P 0.3912 0.3912 0.3912 1
P2 P 0.3912 0.3912 0.8263 1
P3 P 0.3912 0.8263 0.3912 1
P4 P 0.8263 0.3912 0.3912 1
# M_tot (Bohr magnetons per cell): 0.0
# Energy relative to the elements (eV/f.u.): -0.4
# Space group: No. 216

No. 2
# Ta2CdP, relaxed, DFT GGA-PBEsol
data_Ta2CdP
_space_group_name_H-M_alt 'P 1'
_space_group_IT_number 1
_cell_length_a 2.8680
_cell_length_b 2.8680
_cell_length_c 8.6476
_cell_angle_alpha 90.00
_cell_angle_beta 90.00
_cell_angle_gamma 90.00
loop_
_space_group_symop_operation_xyz
'x,y,z'
loop_
_atom_site_label
_atom_site_type_symbol
_atom_site_fract_x
_atom_site_fract_y
_atom_site_fract_z
_atom_site_occupancy
Ta1 Ta 0.0000 0.0000 0.0000 1
Ta2 Ta 0.5000 0.5000 0.2595 1
Cd1 Cd 0.0000 0.0000 0.5215 1
P1 P 0.5000 0.5000 0.8041 1
# M_tot (Bohr magnetons per cell): 0.0
# Energy relative to the elements (eV/f.u.): 0.5
# Space group: No. 99
# Relative energy among the computed polymorphs (eV per formula unit): 0.53

No. 3
# Ta2CdP, relaxed, DFT GGA-PBEsol
data_Ta2CdP
_space_group_name_H-M_alt 'P 1'
_space_group_IT_number 1
_cell_length_a 5.1137
_cell_length_b 5.1137
_cell_length_c 2.8717
_cell_angle_alpha 99.52
_cell_angle_beta 99.52
_cell_angle_gamma 111.07
loop_
_space_group_symop_operation_xyz
'x,y,z'
loop_
_atom_site_label
_atom_site_type_symbol
_atom_site_fract_x
_atom_site_fract_y
_atom_site_fract_z
_atom_site_occupancy
Ta1 Ta 0.0000 0.5000 0.0000 1
Ta2 Ta 0.5000 0.0000 0.0000 1
Cd1 Cd 0.0000 0.0000 0.5000 1
P1 P 0.5000 0.5000 0.5000 1
# M_tot (Bohr magnetons per cell): 0.0
# Energy relative to the elements (eV/f.u.): 0.8
# Space group: No. 12
# Relative energy among the computed polymorphs (eV per formula unit): 0.79

No. 4
# Ta2CdP, relaxed, DFT GGA-PBEsol
data_Ta2CdP
_space_group_name_H-M_alt 'P 1'
_space_group_IT_number 1
_cell_length_a 2.9041
_cell_length_b 2.9041
_cell_length_c 8.8450
_cell_angle_alpha 90.00
_cell_angle_beta 90.00
_cell_angle_gamma 105.46
loop_
_space_group_symop_operation_xyz
'x,y,z'
loop_
_atom_site_label
_atom_site_type_symbol
_atom_site_fract_x
_atom_site_fract_y
_atom_site_fract_z
_atom_site_occupancy
Ta1 Ta 0.0000 0.0000 0.0000 1
Ta2 Ta 0.5000 0.5000 0.2466 1
Cd1 Cd 0.0000 0.0000 0.5075 1
P1 P 0.5000 0.5000 0.8021 1
# M_tot (Bohr magnetons per cell): 0.0
# Energy relative to the elements (eV/f.u.): 0.0
# Space group: No. 35
# Relative energy among the computed polymorphs (eV per formula unit): 0.00

No. 5
# Ta2CdP, relaxed, DFT GGA-PBEsol
data_Ta2CdP
_space_group_name_H-M_alt 'P 1'
_space_group_IT_number 1
_cell_length_a 4.5945
_cell_length_b 4.5945
_cell_length_c 4.5945
_cell_angle_alpha 60.00
_cell_angle_beta 60.00
_cell_angle_gamma 60.00
loop_
_space_group_symop_operation_xyz
'x,y,z'
loop_
_atom_site_label
_atom_site_type_symbol
_atom_site_fract_x
_atom_site_fract_y
_atom_site_fract_z
_atom_site_occupancy
Ta1 Ta 0.0000 0.0000 0.0000 1
Ta2 Ta 0.2500 0.2500 0.2500 1
Cd1 Cd 0.5000 0.5000 0.5000 1
P1 P 0.7500 0.7500 0.7500 1
# M_tot (Bohr magnetons per cell): 0.0
# Energy relative to the elements (eV/f.u.): 2.4
# Space group: No. 216
# Relative energy among the computed polymorphs (eV per formula unit): 2.39

No. 6
# CdTe2P, relaxed, DFT GGA-PBEsol
data_CdTe2P
_space_group_name_H-M_alt 'P 1'
_space_group_IT_number 1
_cell_length_a 9.8896
_cell_length_b 9.8896
_cell_length_c 9.8896
_cell_angle_alpha 21.10
_cell_angle_beta 21.10
_cell_angle_gamma 21.10
loop_
_space_group_symop_operation_xyz
'x,y,z'
loop_
_atom_site_label
_atom_site_type_symbol
_atom_site_fract_x
_atom_site_fract_y
_atom_site_fract_z
_atom_site_occupancy
Cd1 Cd 0.0000 0.0000 0.0000 1
Te1 Te 0.1071 0.1071 0.1071 1
Te2 Te 0.8929 0.8929 0.8929 1
P1 P 0.5000 0.5000 0.5000 1
# M_tot (Bohr magnetons per cell): 0.0
# Space group: No. 166
# Relative energy among the computed polymorphs (eV per formula unit): 0.97

No. 7
# CdTe2P, relaxed, DFT GGA-PBEsol
data_CdTe2P
_space_group_name_H-M_alt 'P 1'
_space_group_IT_number 1
_cell_length_a 8.5172
_cell_length_b 8.5172
_cell_length_c 8.5172
_cell_angle_alpha 140.38
_cell_angle_beta 140.38
_cell_angle_gamma 57.28
loop_
_space_group_symop_operation_xyz
'x,y,z'
loop_
_atom_site_label
_atom_site_type_symbol
_atom_site_fract_x
_atom_site_fract_y
_atom_site_fract_z
_atom_site_occupancy
Cd1 Cd 0.0000 0.0000 0.0000 1
Cd2 Cd 0.7500 0.2500 0.5000 1
Te1 Te 0.1591 0.6250 0.0341 1
Te2 Te 0.3750 0.4091 0.5341 1
Te3 Te 0.5909 0.1250 0.9659 1
Te4 Te 0.8750 0.8409 0.4659 1
P1 P 0.2500 0.7500 0.5000 1
P2 P 0.5000 0.5000 0.0000 1
# M_tot (Bohr magnetons per cell): 0.0
# Space group: No. 122
# Relative energy among the computed polymorphs (eV per formula unit): 0.74

No. 8
# CdTeP2, relaxed, DFT GGA-PBEsol
data_CdTeP2
_space_group_name_H-M_alt 'P 1'
_space_group_IT_number 1
_cell_length_a 3.1520
_cell_length_b 3.1520
_cell_length_c 8.2729
_cell_angle_alpha 90.00
_cell_angle_beta 90.00
_cell_angle_gamma 90.00
loop_
_space_group_symop_operation_xyz
'x,y,z'
loop_
_atom_site_label
_atom_site_type_symbol
_atom_site_fract_x
_atom_site_fract_y
_atom_site_fract_z
_atom_site_occupancy
Cd1 Cd 0.0000 0.0000 0.0000 1
Te1 Te 0.5000 0.5000 0.7022 1
P1 P 0.0000 0.0000 0.3670 1
P2 P 0.5000 0.5000 0.2693 1
# Raw total energy (eV per atom): -3.8113
# M_tot (Bohr magnetons per cell): 0.0
# Space group: No. 99

No. 9
# CdTe2P, relaxed, DFT GGA-PBEsol
data_CdTe2P
_space_group_name_H-M_alt 'P 1'
_space_group_IT_number 1
_cell_length_a 8.5519
_cell_length_b 8.5519
_cell_length_c 8.5519
_cell_angle_alpha 28.67
_cell_angle_beta 28.67
_cell_angle_gamma 28.67
loop_
_space_group_symop_operation_xyz
'x,y,z'
loop_
_atom_site_label
_atom_site_type_symbol
_atom_site_fract_x
_atom_site_fract_y
_atom_site_fract_z
_atom_site_occupancy
Cd1 Cd 0.0000 0.0000 0.0000 1
Te1 Te 0.3994 0.3994 0.3994 1
Te2 Te 0.6006 0.6006 0.6006 1
P1 P 0.5000 0.5000 0.5000 1
# M_tot (Bohr magnetons per cell): 0.0
# Space group: No. 166
# Relative energy among the computed polymorphs (eV per formula unit): 1.69

No. 10
# CdTe3P, relaxed, DFT GGA-PBEsol
data_CdTe3P
_space_group_name_H-M_alt 'P 1'
_space_group_IT_number 1
_cell_length_a 5.1846
_cell_length_b 5.1846
_cell_length_c 5.1846
_cell_angle_alpha 90.00
_cell_angle_beta 90.00
_cell_angle_gamma 90.00
loop_
_space_group_symop_operation_xyz
'x,y,z'
loop_
_atom_site_label
_atom_site_type_symbol
_atom_site_fract_x
_atom_site_fract_y
_atom_site_fract_z
_atom_site_occupancy
Cd1 Cd 0.0000 0.0000 0.0000 1
Te1 Te 0.0000 0.5000 0.5000 1
Te2 Te 0.5000 0.0000 0.5000 1
Te3 Te 0.5000 0.5000 0.0000 1
P1 P 0.5000 0.5000 0.5000 1
# Raw total energy (eV per atom): -3.1373
# M_tot (Bohr magnetons per cell): 0.0
# Space group: No. 221

No. 11
# CdTe2P, relaxed, DFT GGA-PBEsol
data_CdTe2P
_space_group_name_H-M_alt 'P 1'
_space_group_IT_number 1
_cell_length_a 4.1347
_cell_length_b 4.1347
_cell_length_c 5.9390
_cell_angle_alpha 90.00
_cell_angle_beta 90.00
_cell_angle_gamma 90.00
loop_
_space_group_symop_operation_xyz
'x,y,z'
loop_
_atom_site_label
_atom_site_type_symbol
_atom_site_fract_x
_atom_site_fract_y
_atom_site_fract_z
_atom_site_occupancy
Cd1 Cd 0.0000 0.0000 0.0000 1
Te1 Te 0.0000 0.0000 0.5225 1
Te2 Te 0.5000 0.5000 0.0756 1
P1 P 0.5000 0.5000 0.5012 1
# M_tot (Bohr magnetons per cell): 0.0
# Space group: No. 99
# Relative energy among the computed polymorphs (eV per formula unit): 0.00

No. 12
# CdTe2P, relaxed, DFT GGA-PBEsol
data_CdTe2P
_space_group_name_H-M_alt 'P 1'
_space_group_IT_number 1
_cell_length_a 4.1127
_cell_length_b 4.1127
_cell_length_c 7.1819
_cell_angle_alpha 106.79
_cell_angle_beta 106.79
_cell_angle_gamma 60.09
loop_
_space_group_symop_operation_xyz
'x,y,z'
loop_
_atom_site_label
_atom_site_type_symbol
_atom_site_fract_x
_atom_site_fract_y
_atom_site_fract_z
_atom_site_occupancy
Cd1 Cd 0.0000 0.0000 0.0000 1
Te1 Te 0.2433 0.2433 0.7280 1
Te2 Te 0.7567 0.7567 0.2720 1
P1 P 0.5000 0.5000 0.5000 1
# M_tot (Bohr magnetons per cell): 0.0
# Space group: No. 12
# Relative energy among the computed polymorphs (eV per formula unit): 0.16

No. 13
# TlCdP2, relaxed, DFT GGA-PBEsol
data_TlCdP2
_space_group_name_H-M_alt 'P 1'
_space_group_IT_number 1
_cell_length_a 5.3187
_cell_length_b 5.3187
_cell_length_c 2.8506
_cell_angle_alpha 90.00
_cell_angle_beta 90.00
_cell_angle_gamma 90.00
loop_
_space_group_symop_operation_xyz
'x,y,z'
loop_
_atom_site_label
_atom_site_type_symbol
_atom_site_fract_x
_atom_site_fract_y
_atom_site_fract_z
_atom_site_occupancy
Tl1 Tl 0.0000 0.0000 0.0000 1
Cd1 Cd 0.5000 0.5000 0.0000 1
P1 P 0.0000 0.5000 0.5000 1
P2 P 0.5000 0.0000 0.5000 1
# M_tot (Bohr magnetons per cell): 0.0
# Energy relative to the elements (eV/f.u.): 2.0
# Space group: No. 123
# Relative energy among the computed polymorphs (eV per formula unit): 1.41

No. 14
# TlCd2P2, relaxed, DFT GGA-PBEsol
data_TlCd2P2
_space_group_name_H-M_alt 'P 1'
_space_group_IT_number 1
_cell_length_a 6.8011
_cell_length_b 6.8011
_cell_length_c 6.8011
_cell_angle_alpha 143.80
_cell_angle_beta 143.80
_cell_angle_gamma 52.12
loop_
_space_group_symop_operation_xyz
'x,y,z'
loop_
_atom_site_label
_atom_site_type_symbol
_atom_site_fract_x
_atom_site_fract_y
_atom_site_fract_z
_atom_site_occupancy
Tl1 Tl 0.0000 0.0000 0.0000 1
Cd1 Cd 0.3872 0.3872 0.0000 1
Cd2 Cd 0.6128 0.6128 0.0000 1
P1 P 0.2500 0.7500 0.5000 1
P2 P 0.7500 0.2500 0.5000 1
# M_tot (Bohr magnetons per cell): 0.0
# Energy relative to the elements (eV/f.u.): 1.3
# Space group: No. 139

No. 15
# TlCd2P, relaxed, DFT GGA-PBEsol
data_TlCd2P
_space_group_name_H-M_alt 'P 1'
_space_group_IT_number 1
_cell_length_a 3.2615
_cell_length_b 3.2615
_cell_length_c 8.1853
_cell_angle_alpha 90.00
_cell_angle_beta 90.00
_cell_angle_gamma 90.00
loop_
_space_group_symop_operation_xyz
'x,y,z'
loop_
_atom_site_label
_atom_site_type_symbol
_atom_site_fract_x
_atom_site_fract_y
_atom_site_fract_z
_atom_site_occupancy
Tl1 Tl 0.0000 0.0000 0.0000 1
Cd1 Cd 0.0000 0.0000 0.5433 1
Cd2 Cd 0.5000 0.5000 0.2969 1
P1 P 0.5000 0.5000 0.7402 1
# M_tot (Bohr magnetons per cell): 0.0
# Energy relative to the elements (eV/f.u.): 0.9
# Space group: No. 99